An optimized crystal structure of NaZrS, computed with PBE.

POSCAR file:
```
NaZrS
1.0
-0.291 2.385 -3.475
-3.794 0.962 -1.590
-1.654 9.445 4.051
Zr Na S
2 2 2
direct
0.302 0.302 0.093 Zr
0.698 0.698 0.907 Zr
0.121 0.121 0.638 Na
0.879 0.879 0.362 Na
0.389 0.389 0.833 S
0.611 0.611 0.167 S
```

Summary:
Its symmetry is R-3m. Its raw formation energy is -0.7850 eV/atom. Its mass density is 3.1 g/cm3. For the volume, the calculation gives 156.43 Å³/cell.

An optimized crystal structure of NaZr3S6, computed with PBE.

POSCAR file:
```
NaZr3S6
1.0
-0.515 2.705 2.427
-8.514 3.505 -5.713
-3.749 -8.224 8.371
Na Zr S
2 6 12
direct
0.750 0.668 0.987 Na
0.250 0.332 0.013 Na
0.750 0.341 0.473 Zr
0.250 0.659 0.527 Zr
0.750 0.711 0.290 Zr
0.250 0.289 0.710 Zr
0.750 0.970 0.858 Zr
0.250 0.030 0.142 Zr
0.750 0.166 0.569 S
0.250 0.834 0.431 S
0.750 0.150 0.065 S
0.250 0.850 0.935 S
0.750 0.778 0.666 S
0.250 0.222 0.334 S
0.750 0.526 0.378 S
0.250 0.474 0.622 S
0.750 0.399 0.854 S
0.250 0.601 0.146 S
0.750 0.907 0.206 S
0.250 0.093 0.794 S
```

Summary:
Its symmetry is P2_1/m. Its raw formation energy is -1.4831 eV/atom. Its mass density is 3.5 g/cm3. For the volume, the calculation gives 461.66 Å³/cell.